No. 1
SrCdCoGe2, optimized geometry, DFT PBE-GGA; total DFT energy (no corrections) = -19.91 eV per cell; space group = I-4m2, No. 119
1.0
4.777 -4.039 0.242
-0.721 -5.715 2.451
-2.809 3.787 -4.118
Co Ge Cd Sr
1 2 1 1
Cartesian
2.028 -4.877 1.346
1.512 -1.397 -1.587
2.483 -3.732 -0.942
0.000 0.000 0.000
-0.751 -3.402 -0.160


No. 2
TaCdCoGe, optimized geometry, DFT PBE-GGA; E above lowest polymorph = 0.0 meV per atom; space group = F-43m, No. 216
1.0
0.000 3.183 3.183
3.183 0.000 3.183
3.183 3.183 0.000
Ge Ta Co Cd
1 1 1 1
Cartesian
0.000 0.000 0.000
1.591 1.591 1.591
4.774 4.774 4.774
3.183 3.183 3.183


No. 3
TaCdCoGe, optimized geometry, DFT PBE-GGA; E above lowest polymorph = 86.9 meV per atom; space group = F-43m, No. 216
1.0
1.469 -4.119 -1.159
-0.147 -3.382 3.002
-2.953 -3.384 -0.548
Ta Cd Ge Co
1 1 1 1
Cartesian
-0.815 -5.442 0.647
-0.408 -2.721 0.324
0.000 0.000 0.000
-1.223 -8.164 0.971


No. 4
YCdCoGe, optimized geometry, DFT PBE-GGA; E above lowest polymorph = 0.0 meV per atom; space group = F-43m, No. 216
1.0
-2.124 -2.610 3.309
-0.001 1.434 4.496
-4.000 1.515 1.993
Cd Co Ge Y
1 1 1 1
Cartesian
-3.062 0.170 4.899
-4.594 0.254 7.348
0.000 0.000 0.000
-1.531 0.085 2.449


No. 5
YCdCoGe, optimized geometry, DFT PBE-GGA; E above lowest polymorph = 99.7 meV per atom; space group = F-43m, No. 216
1.0
0.000 3.337 3.337
3.337 0.000 3.337
3.337 3.337 0.000
Co Ge Cd Y
1 1 1 1
Cartesian
5.005 5.005 5.005
0.000 0.000 0.000
1.668 1.668 1.668
3.337 3.337 3.337


No. 6
ZnCdCoGe, optimized geometry, DFT PBE-GGA; E above lowest polymorph = 20.9 meV per atom; space group = F-43m, No. 216
1.0
0.000 3.153 3.153
3.153 0.000 3.153
3.153 3.153 0.000
Cd Zn Ge Co
1 1 1 1
Cartesian
1.576 1.576 1.576
3.153 3.153 3.153
0.000 0.000 0.000
4.729 4.729 4.729


No. 7
ZnCdCoGe, optimized geometry, DFT PBE-GGA; E above lowest polymorph = 0.0 meV per atom; space group = F-43m, No. 216
1.0
0.000 3.152 3.152
3.152 0.000 3.152
3.152 3.152 0.000
Ge Cd Co Zn
1 1 1 1
Cartesian
0.000 0.000 0.000
3.152 3.152 3.152
4.728 4.728 4.728
1.576 1.576 1.576


No. 8
ZrCdCoGe, optimized geometry, DFT PBE-GGA; E above lowest polymorph = 0.0 meV per atom; space group = F-43m, No. 216
1.0
0.000 3.244 3.244
3.244 0.000 3.244
3.244 3.244 0.000
Co Zr Cd Ge
1 1 1 1
Cartesian
4.866 4.866 4.866
1.622 1.622 1.622
3.244 3.244 3.244
0.000 0.000 0.000